# BaThCr2O8

Crystalline BaThCr2O8 at its relaxed geometry (PBE with a Hubbard U, Alexandria via LeMat-Bulk).

The space group is P-3 (No. 147) and the conventional cell measures 5.7952, 5.7952 and 7.7721 Å, with angles of 90.00, 90.00 and 120.00 degrees. The asymmetric unit holds Ba at (0.0000, 0.0000, 0.0000), Th at (0.0000, 0.0000, 0.5000), Cr at (0.3333, 0.6667, 0.7742), O at (0.1683, 0.3384, 0.6988) and O at (0.3333, 0.6667, 0.9881).

The value obtained for the total energy is -7.53 eV/atom. The crystal system is trigonal. For the density of states at the Fermi level, the calculation gives 8.5 states/eV per cell. For the magnetization, the calculation gives 2.000 μB/cell. For the volume, the calculation gives 18.84 Å³ per atom.